No. 1
This record from Alexandria describes a relaxed TmHfInAu crystal. The functional is PBE-GGA.

## Properties
Energy of formation from the pure elements = -0.35 eV/atom
Symmetry = F-43m

Cell lengths 5.020, 5.020, 5.020 Å; angles 60.00, 60.00, 60.00 degrees
Each line ends with the local moment (μB).
Atoms (fractional coordinates):
Hf: 0.750 0.750 0.750  0.42
Tm: 0.250 0.250 0.250  0.26
Au: 0.000 0.000 0.000  0.06
In: 0.500 0.500 0.500  -0.01

No. 2
This record from Alexandria describes a relaxed HfIrAu3 crystal. The functional is PBE-GGA.

## Properties
Energy of formation from the pure elements = 1.08 eV/atom
Symmetry = Pm-3m
Distance to the lowest polymorph of the same formula = 0 meV per atom

Cell lengths 4.946, 4.946, 4.946 Å; angles 90.00, 90.00, 90.00 degrees
Atoms (fractional coordinates):
Hf: 0.500 0.500 0.500
Ir: 0.000 0.000 0.000
Au: 0.000 0.500 0.000
Au: 0.000 0.000 0.500
Au: 0.500 0.000 0.000

No. 3
This record from Alexandria describes a relaxed Hf8Ir5Au crystal. The functional is PBE-GGA.

## Properties
Energy of formation from the pure elements = -0.67 eV/atom
Symmetry = C2

Cell lengths 6.368, 8.107, 6.368 Å; angles 107.39, 103.37, 107.75 degrees
Atoms (fractional coordinates):
Hf: 0.095 0.773 0.023
Hf: 0.013 0.146 0.761
Hf: 0.761 0.261 0.340
Hf: 0.628 0.343 0.852
Hf: 0.509 0.657 0.285
Hf: 0.615 0.854 0.867
Hf: 0.250 0.227 0.322
Hf: 0.079 0.739 0.501
Ir: 0.052 0.435 0.146
Ir: 0.883 0.937 0.299
Ir: 0.711 0.565 0.616
Ir: 0.534 0.000 0.534
Ir: 0.362 0.063 0.946
Au: 0.258 0.500 0.758

No. 4
This record from Alexandria describes a relaxed Hf2Ir2Au crystal. The functional is PBE-GGA.

## Properties
Energy of formation from the pure elements = -0.76 eV/atom
Symmetry = P4/mbm
Distance to the lowest polymorph of the same formula = 0 meV per atom

Cell lengths 7.646, 7.646, 3.130 Å; angles 90.00, 90.00, 90.00 degrees
Atoms (fractional coordinates):
Hf: 0.161 0.661 0.500
Hf: 0.661 0.839 0.500
Hf: 0.839 0.339 0.500
Hf: 0.339 0.161 0.500
Ir: 0.364 0.864 0.000
Ir: 0.864 0.636 0.000
Ir: 0.636 0.136 0.000
Ir: 0.136 0.364 0.000
Au: 0.000 0.000 0.000
Au: 0.500 0.500 0.000

No. 5
This record from Alexandria describes a relaxed Hf2Ir2Au crystal. The functional is PBE-GGA.

## Properties
Energy of formation from the pure elements = -0.57 eV/atom
Symmetry = P4/mbm
Distance to the lowest polymorph of the same formula = 191 meV per atom

Cell lengths 7.819, 7.819, 3.063 Å; angles 90.00, 90.00, 90.00 degrees
Atoms (fractional coordinates):
Hf: 0.347 0.847 0.000
Hf: 0.847 0.653 0.000
Hf: 0.653 0.153 0.000
Hf: 0.153 0.347 0.000
Ir: 0.139 0.639 0.500
Ir: 0.639 0.861 0.500
Ir: 0.861 0.361 0.500
Ir: 0.361 0.139 0.500
Au: 0.000 0.000 0.000
Au: 0.500 0.500 0.000

No. 6
This record from Alexandria describes a relaxed Hf3IrAu crystal. The functional is PBE-GGA.

## Properties
Energy of formation from the pure elements = 0.19 eV/atom
Symmetry = Pm-3m
Distance to the lowest polymorph of the same formula = 0 meV per atom

Cell lengths 4.986, 4.986, 4.986 Å; angles 90.00, 90.00, 90.00 degrees
Atoms (fractional coordinates):
Hf: 0.000 0.500 0.000
Hf: 0.000 0.000 0.500
Hf: 0.500 0.000 0.000
Ir: 0.000 0.000 0.000
Au: 0.500 0.500 0.500